## SmAlBRu2 (GGA-PBE)

Data for SmAlBRu2 after structural relaxation.

Computed properties:
Formation energy ... -0.44 eV/atom
Symmetry ... No. 63
D(E_F) ... 0.686 states/eV/atom
Total magnetization ... 0.00 μB/f.u.

a b c (Å): 5.8949 5.8949 7.3577
angles (deg): 90.00 90.00 139.33
Positions (direct):
Sm1 0.0512 0.9488 0.7500
Sm2 0.9488 0.0512 0.2500
Al1 0.2256 0.7744 0.2500
Al2 0.7744 0.2256 0.7500
B1 0.5000 0.5000 0.0000
B2 0.5000 0.5000 0.5000
Ru1 0.3264 0.6736 0.5584
Ru2 0.3264 0.6736 0.9416
Ru3 0.6736 0.3264 0.0584
Ru4 0.6736 0.3264 0.4416



## Ti2TcPt (GGA-PBE)

Data for Ti2TcPt after structural relaxation.

Computed properties:
Formation energy ... -0.74 eV/atom
Symmetry ... No. 225
D(E_F) ... 0.940 states/eV/atom
Total magnetization ... 0.00 μB/f.u.

a b c (Å): 4.4209 4.4209 4.4209
angles (deg): 60.00 60.00 60.00
Positions (direct):
Ti1 0.2500 0.2500 0.2500
Ti2 0.7500 0.7500 0.7500
Tc1 0.0000 0.0000 0.0000
Pt1 0.5000 0.5000 0.5000



## MnZn2Hg (GGA-PBE)

Data for MnZn2Hg after structural relaxation.

Computed properties:
Formation energy ... 0.19 eV/atom
Symmetry ... No. 8
D(E_F) ... 0.480 states/eV/atom
Total magnetization ... 3.56 μB/f.u.

a b c (Å): 4.7888 4.7888 5.0544
angles (deg): 101.23 101.23 36.12
Positions (direct):
Mn1 0.0000 0.0000 0.0000
Zn1 0.2568 0.2568 0.7762
Zn2 0.5137 0.5137 0.5460
Hg1 0.7559 0.7559 0.2717



## MgCdP2 (GGA-PBE)

Data for MgCdP2 after structural relaxation.

Computed properties:
Formation energy ... -0.04 eV/atom
Symmetry ... No. 10
D(E_F) ... 0.275 states/eV/atom
Total magnetization ... 0.00 μB/f.u.

a b c (Å): 4.1617 3.7129 5.6341
angles (deg): 90.00 99.49 90.00
Positions (direct):
Mg1 0.0000 0.0000 0.0000
Cd1 0.5000 0.0000 0.5000
P1 0.3444 0.5000 0.8216
P2 0.6556 0.5000 0.1784



## K3Er3SnO8 (GGA-PBE)

Data for K3Er3SnO8 after structural relaxation.

Computed properties:
Symmetry ... No. 166
Formation energy without anion corrections ... -2585 meV/atom
D(E_F) ... 0.000 states/eV/atom
Total magnetization ... 0.00 μB/f.u.

a b c (Å): 7.4347 7.4347 7.4347
angles (deg): 54.21 54.21 54.21
Positions (direct):
K1 0.0000 0.5000 0.5000
K2 0.5000 0.0000 0.5000
K3 0.5000 0.5000 0.0000
Er1 0.0000 0.0000 0.5000
Er2 0.0000 0.5000 0.0000
Er3 0.5000 0.0000 0.0000
Sn1 0.5000 0.5000 0.5000
O1 0.2257 0.2257 0.2257
O2 0.2447 0.7155 0.7155
O3 0.2845 0.2845 0.7553
O4 0.2845 0.7553 0.2845
O5 0.7155 0.2447 0.7155
O6 0.7155 0.7155 0.2447
O7 0.7553 0.2845 0.2845
O8 0.7743 0.7743 0.7743



## SrCuSe2 (GGA-PBE)

Data for SrCuSe2 after structural relaxation.

Computed properties:
Symmetry ... No. 122
Formation energy without anion corrections ... -1000 meV/atom
D(E_F) ... 0.136 states/eV/atom
Total magnetization ... 0.00 μB/f.u.

a b c (Å): 6.3221 6.3221 6.3221
angles (deg): 109.21 109.21 110.00
Positions (direct):
Sr1 0.0000 0.0000 0.0000
Sr2 0.7500 0.2500 0.5000
Cu1 0.2500 0.7500 0.5000
Cu2 0.5000 0.5000 0.0000
Se1 0.2051 0.6250 0.0801
Se2 0.3750 0.4551 0.5801
Se3 0.5449 0.1250 0.9199
Se4 0.8750 0.7949 0.4199



## NpUPa (GGA-PBE)

Data for NpUPa after structural relaxation.

Computed properties:
Formation energy ... 0.25 eV/atom
Symmetry ... No. 107
D(E_F) ... 2.830 states/eV/atom
Total magnetization ... 1.49 μB/f.u.

a b c (Å): 6.2732 6.2732 6.2732
angles (deg): 149.36 149.36 43.88
Positions (direct):
Np1 0.0000 0.0000 0.0000
U1 0.3770 0.3770 0.0000
Pa1 0.6817 0.6817 0.0000



## Na6TlO4 (GGA-PBE)

Data for Na6TlO4 after structural relaxation.

Computed properties:
Symmetry ... No. 137
Formation energy without anion corrections ... -1133 meV/atom
D(E_F) ... 0.299 states/eV/atom
Total magnetization ... 0.00 μB/f.u.

a b c (Å): 7.8789 7.8789 5.6344
angles (deg): 90.00 90.00 90.00
Positions (direct):
Na1 0.0352 0.5352 0.2500
Na2 0.0352 0.9648 0.2500
Na3 0.2500 0.2500 0.1972
Na4 0.2500 0.2500 0.6972
Na5 0.4648 0.5352 0.2500
Na6 0.4648 0.9648 0.2500
Na7 0.5352 0.0352 0.7500
Na8 0.5352 0.4648 0.7500
Na9 0.7500 0.7500 0.3028
Na10 0.7500 0.7500 0.8028
Na11 0.9648 0.0352 0.7500
Na12 0.9648 0.4648 0.7500
Tl1 0.2500 0.7500 0.7500
Tl2 0.7500 0.2500 0.2500
O1 0.0140 0.2500 0.4578
O2 0.2500 0.0140 0.9578
O3 0.2500 0.4860 0.9578
O4 0.4860 0.2500 0.4578
O5 0.5140 0.7500 0.5422
O6 0.7500 0.5140 0.0422
O7 0.7500 0.9860 0.0422
O8 0.9860 0.7500 0.5422



## Pa3Si2Ge (GGA-PBE)

Data for Pa3Si2Ge after structural relaxation.

Computed properties:
Symmetry ... No. 26
Formation energy without anion corrections ... -368 meV/atom
D(E_F) ... 1.806 states/eV/atom
Total magnetization ... 0.00 μB/f.u.

a b c (Å): 4.0464 8.2808 7.7244
angles (deg): 90.00 90.00 90.00
Positions (direct):
Pa1 0.0000 0.0698 0.0000
Pa2 0.0000 0.2684 0.4773
Pa3 0.0000 0.7316 0.9773
Pa4 0.0000 0.9302 0.5000
Pa5 0.5000 0.4284 0.1153
Pa6 0.5000 0.5716 0.6153
Si1 0.0000 0.4063 0.8388
Si2 0.0000 0.5937 0.3388
Si3 0.5000 0.2126 0.7531
Si4 0.5000 0.7874 0.2531
Ge1 0.5000 0.1046 0.2770
Ge2 0.5000 0.8954 0.7770



## Sr3NdDy3Te8 (GGA-PBE)

Data for Sr3NdDy3Te8 after structural relaxation.

Computed properties:
Symmetry ... No. 166
Formation energy without anion corrections ... -1519 meV/atom
D(E_F) ... 0.347 states/eV/atom
Total magnetization ... 0.00 μB/f.u.

a b c (Å): 9.1848 9.1848 9.1848
angles (deg): 58.06 58.06 58.06
Positions (direct):
Sr1 0.0000 0.5000 0.5000
Sr2 0.5000 0.0000 0.5000
Sr3 0.5000 0.5000 0.0000
Nd1 0.5000 0.5000 0.5000
Dy1 0.0000 0.0000 0.5000
Dy2 0.0000 0.5000 0.0000
Dy3 0.5000 0.0000 0.0000
Te1 0.2331 0.7514 0.7514
Te2 0.2435 0.2435 0.2435
Te3 0.2486 0.2486 0.7669
Te4 0.2486 0.7669 0.2486
Te5 0.7514 0.2331 0.7514
Te6 0.7514 0.7514 0.2331
Te7 0.7565 0.7565 0.7565
Te8 0.7669 0.2486 0.2486



## NaZn2As2 (GGA-PBE)

Data for NaZn2As2 after structural relaxation.

Computed properties:
Formation energy ... -0.22 eV/atom
Symmetry ... No. 15
D(E_F) ... 0.018 states/eV/atom
Total magnetization ... 0.00 μB/f.u.

a b c (Å): 7.1816 7.1816 5.7332
angles (deg): 110.10 110.10 106.59
Positions (direct):
Na1 0.1007 0.8993 0.7500
Na2 0.8993 0.1007 0.2500
Zn1 0.1981 0.4806 0.9517
Zn2 0.4806 0.1981 0.4517
Zn3 0.5194 0.8019 0.5483
Zn4 0.8019 0.5194 0.0483
As1 0.1779 0.8221 0.2500
As2 0.4585 0.5415 0.7500
As3 0.5415 0.4585 0.2500
As4 0.8221 0.1779 0.7500



## OsSeO2 (GGA-PBE)

Data for OsSeO2 after structural relaxation.

Computed properties:
Symmetry ... No. 166
Formation energy without anion corrections ... -218 meV/atom
D(E_F) ... 0.543 states/eV/atom
Total magnetization ... 0.00 μB/f.u.

a b c (Å): 8.8724 8.8724 8.8724
angles (deg): 17.94 17.94 17.94
Positions (direct):
Os1 0.0000 0.0000 0.0000
Se1 0.5000 0.5000 0.5000
O1 0.3835 0.3835 0.3835
O2 0.6165 0.6165 0.6165